Arrangement 1

This record from the Alexandria database describes crystalline CuNi3Cl at its relaxed geometry. The functional is PBE-GGA.

Lattice parameters (Å, degrees): 4.103 4.103 4.103 90.00 90.00 90.00
Sites, in units of the cell vectors:
Cu: 0.000 0.000 0.000
Ni: 0.000 0.500 0.500
Ni: 0.500 0.000 0.500
Ni: 0.500 0.500 0.000
Cl: 0.500 0.500 0.500

* size of the total moment: 0.000 μB/cell
* Fermi-level density of states: 0.00 states/eV per atom

=====

Arrangement 2

This record from the Alexandria database describes crystalline CuNi3Cl at its relaxed geometry. The functional is PBE-GGA.

Lattice parameters (Å, degrees): 4.410 4.410 4.410 90.00 90.00 90.00
Sites, in units of the cell vectors:
Cu: 0.000 0.000 0.000
Ni: 0.000 0.000 0.500
Ni: 0.000 0.500 0.000
Ni: 0.500 0.000 0.000
Cl: 0.500 0.500 0.500

* size of the total moment: 2.103 μB/cell
* Fermi-level density of states: 1.94 states/eV per atom

=====

Quick one: most stable of them? arrangement 1

=====

Arrangement 1

This record from the Alexandria database describes crystalline CuNi2Cl2 at its relaxed geometry. The functional is PBE-GGA.

Lattice parameters (Å, degrees): 6.428 6.428 3.623 90.00 90.00 90.00
Sites, in units of the cell vectors:
Cu: 0.000 0.000 0.000
Cu: 0.500 0.500 0.000
Ni: 0.143 0.357 0.000
Ni: 0.357 0.857 0.000
Ni: 0.643 0.143 0.000
Ni: 0.857 0.643 0.000
Cl: 0.194 0.694 0.500
Cl: 0.306 0.194 0.500
Cl: 0.694 0.806 0.500
Cl: 0.806 0.306 0.500

* size of the total moment: 2.064 μB/cell
* Fermi-level density of states: 0.35 states/eV per atom

=====

Arrangement 2

This record from the Alexandria database describes crystalline CuNi2Cl2 at its relaxed geometry. The functional is PBE-GGA.

Lattice parameters (Å, degrees): 4.977 4.977 4.977 124.82 124.82 81.84
Sites, in units of the cell vectors:
Cu: 0.000 0.000 0.000
Ni: 0.318 0.318 0.000
Ni: 0.682 0.682 0.000
Cl: 0.250 0.750 0.500
Cl: 0.750 0.250 0.500

* size of the total moment: 0.000 μB/cell
* Fermi-level density of states: 0.62 states/eV per atom

=====

Quick one: most stable of them? arrangement 1

=====

Arrangement 1

This record from the Alexandria database describes crystalline CuCl3O at its relaxed geometry. The functional is PBE-GGA.

Lattice parameters (Å, degrees): 4.623 4.623 4.623 90.00 90.00 90.00
Sites, in units of the cell vectors:
Cu: 0.000 0.000 0.000
Cl: 0.000 0.000 0.500
Cl: 0.000 0.500 0.000
Cl: 0.500 0.000 0.000
O: 0.500 0.500 0.500

* size of the total moment: 0.000 μB/cell
* Fermi-level density of states: 2.65 states/eV per atom

=====

Arrangement 2

This record from the Alexandria database describes crystalline CuCl3O at its relaxed geometry. The functional is PBE-GGA.

Lattice parameters (Å, degrees): 4.468 4.468 4.468 90.00 90.00 90.00
Sites, in units of the cell vectors:
Cu: 0.000 0.000 0.000
Cl: 0.000 0.500 0.500
Cl: 0.500 0.000 0.500
Cl: 0.500 0.500 0.000
O: 0.500 0.500 0.500

* size of the total moment: 0.000 μB/cell
* Fermi-level density of states: 0.89 states/eV per atom

=====

Quick one: most stable of them? arrangement 2

=====

Arrangement 1

This record from the Alexandria database describes crystalline CuClO at its relaxed geometry. The functional is PBE-GGA.

Lattice parameters (Å, degrees): 3.556 5.784 6.197 103.04 106.23 107.45
Sites, in units of the cell vectors:
Cu: 0.223 0.354 0.092
Cu: 0.777 0.646 0.908
Cl: 0.221 0.122 0.319
Cl: 0.779 0.878 0.681
O: 0.212 0.543 0.879
O: 0.788 0.457 0.121

* size of the total moment: 0.000 μB/cell
* Fermi-level density of states: 0.48 states/eV per atom

=====

Arrangement 2

This record from the Alexandria database describes crystalline CuClO at its relaxed geometry. The functional is PBE-GGA.

Lattice parameters (Å, degrees): 6.484 6.280 5.358 90.00 110.93 90.00
Sites, in units of the cell vectors:
Cu: 0.041 0.115 0.289
Cu: 0.041 0.385 0.789
Cu: 0.959 0.615 0.211
Cu: 0.959 0.885 0.711
Cl: 0.300 0.068 0.121
Cl: 0.300 0.432 0.621
Cl: 0.700 0.568 0.379
Cl: 0.700 0.932 0.879
O: 0.094 0.653 0.950
O: 0.094 0.847 0.450
O: 0.906 0.153 0.550
O: 0.906 0.347 0.050

* size of the total moment: 0.000 μB/cell
* Fermi-level density of states: 0.19 states/eV per atom

=====

Quick one: most stable of them? arrangement 1